# PmPaCo, relaxed, DFT PBE
# M_tot: 0.0 μB per formula unit
# Formation energy from the elements: 35 meV per atom
# Total energy: -7.08 eV/atom
data_PmPaCo
_chemical_formula_sum 'Pm1 Pa1 Co1'
_space_group_name_H-M_alt 'P 1'
_space_group_IT_number 1
_cell_length_a 4.2192
_cell_length_b 4.2192
_cell_length_c 4.7620
_cell_angle_alpha 90.00
_cell_angle_beta 90.00
_cell_angle_gamma 120.00
loop_
_space_group_symop_operation_xyz
'x,y,z'
loop_
_atom_site_label
_atom_site_fract_x
_atom_site_fract_y
_atom_site_fract_z
Pm1 0.0000 0.0000 0.0000
Pa1 0.6667 0.3333 0.5000
Co1 0.3333 0.6667 0.5000